Record 1
A geometry-optimized TaCo2 structure. Source: the Alexandria database, functional GGA-PBE.

Unit cell a=11.8127 b=11.8127 c=11.8127 alpha=162.25 beta=162.25 gamma=25.20
Last column: nearest neighbours and their distance in Å.
Fractional coordinates of all 12 atoms:
Ta 0.2991 0.5491 0.7500  10 Co 2.51-2.81
Ta 0.4509 0.7009 0.7500  10 Co 2.51-2.81
Ta 0.5491 0.2991 0.2500  10 Co 2.51-2.81
Ta 0.7009 0.4509 0.2500  10 Co 2.51-2.81
Co 0.0438 0.7938 0.2500  6 Ta 2.58-2.81, 6 Co 2.60-2.72
Co 0.1257 0.3757 0.7500  4 Ta 2.51-2.54, 8 Co 2.58-2.63
Co 0.2062 0.9562 0.2500  6 Ta 2.58-2.81, 6 Co 2.60-2.72
Co 0.3757 0.1257 0.2500  4 Ta 2.51-2.54, 8 Co 2.58-2.63
Co 0.6243 0.8743 0.7500  4 Ta 2.51-2.54, 8 Co 2.58-2.63
Co 0.7938 0.0438 0.7500  6 Ta 2.58-2.81, 6 Co 2.60-2.72
Co 0.8743 0.6243 0.2500  4 Ta 2.51-2.54, 8 Co 2.58-2.63
Co 0.9562 0.2062 0.7500  6 Ta 2.58-2.81, 6 Co 2.60-2.72

formation energy from the elements	-0.23	eV/atom
space group	I4_1/amd
magnetization	0.00	μB/f.u.
Fermi-level density of states	6.37	states/eV per cell
DFT total energy	-107.06	eV/cell

=====

Record 2
A geometry-optimized CsBr3Cl structure. Source: the Alexandria database, functional GGA-PBE.

Unit cell a=8.2003 b=8.2003 c=8.2003 alpha=121.12 beta=121.12 gamma=88.07
Last column: nearest neighbours and their distance in Å.
Fractional coordinates of all 10 atoms:
Cs 0.2500 0.7500 0.5000  12 Br 4.06-4.11
Cs 0.7500 0.2500 0.5000  12 Br 4.06-4.11
Br 0.2092 0.2092 0.0000  1 Cl 2.47
Br 0.2790 0.2790 0.5580  1 Cl 2.52
Br 0.2790 0.7210 0.0000  1 Cl 2.52
Br 0.7210 0.2790 0.0000  1 Cl 2.52
Br 0.7210 0.7210 0.4420  1 Cl 2.52
Br 0.7908 0.7908 0.0000  1 Cl 2.47
Cl 0.0000 0.0000 0.0000  2 Br 2.47
Cl 0.5000 0.5000 0.0000  4 Br 2.52

energy above the most stable polymorph in this dataset	0	meV/atom
space group	I4/mmm
magnetization	0.00	μB/f.u.
formation energy (no corrections)	-3.1	eV per formula unit
Fermi-level density of states	0.00	states/eV per cell
DFT total energy	-21.74	eV/cell

=====

Record 3
A geometry-optimized CrOs2Pt structure. Source: the Alexandria database, functional GGA-PBE.

Unit cell a=9.0703 b=9.0703 c=9.0703 alpha=17.13 beta=17.13 gamma=17.13
Last column: nearest neighbours and their distance in Å.
Fractional coordinates of all 4 atoms:
Cr 0.0000 0.0000 0.0000  6 Os 2.59, 6 Cr 2.70
Os 0.2560 0.2560 0.2560  3 Cr 2.59, 6 Os 2.70, 3 Pt 2.86
Os 0.7440 0.7440 0.7440  3 Cr 2.59, 6 Os 2.70, 3 Pt 2.86
Pt 0.5000 0.5000 0.5000  6 Pt 2.70, 6 Os 2.86

formation energy from the elements	0.09	eV/atom
space group	R-3m
magnetization	0.00	μB/f.u.
Fermi-level density of states	4.76	states/eV per cell
DFT total energy	-37.75	eV/cell

=====

Record 4
A geometry-optimized RbCdSnAs2 structure. Source: the Alexandria database, functional GGA-PBE.

Unit cell a=7.4379 b=7.4379 c=9.8941 alpha=99.10 beta=99.10 gamma=39.30
Last column: nearest neighbours and their distance in Å.
Fractional coordinates of all 10 atoms:
Rb 0.1618 0.1618 0.1709  4 As 3.53-3.75, 1 Cd 3.89
Rb 0.8382 0.8382 0.8291  4 As 3.53-3.75, 1 Cd 3.89
Cd 0.1645 0.1645 0.5650  4 As 2.70-2.87
Cd 0.8355 0.8355 0.4350  4 As 2.70-2.87
Sn 0.4452 0.4452 0.3038  4 As 2.74-2.89
Sn 0.5548 0.5548 0.6962  4 As 2.74-2.89
As 0.1031 0.1031 0.8099  1 Cd 2.70, 2 Sn 2.78
As 0.3682 0.3682 0.5574  2 Sn 2.74-2.89, 3 Cd 2.78-2.87
As 0.6318 0.6318 0.4426  2 Sn 2.74-2.89, 3 Cd 2.78-2.87
As 0.8969 0.8969 0.1901  1 Cd 2.70, 2 Sn 2.78

formation energy from the elements	-0.23	eV/atom
space group	C2/m
magnetization	0.00	μB/f.u.
Fermi-level density of states	2.12	states/eV per cell
DFT total energy	-32.63	eV/cell

=====

Record 5
A geometry-optimized Li4HfU3S8 structure. Source: the Alexandria database, functional GGA-PBE.

Unit cell a=7.6691 b=7.6691 c=7.6691 alpha=58.81 beta=58.81 gamma=58.81
Last column: nearest neighbours and their distance in Å.
Fractional coordinates of all 16 atoms:
Li 0.0000 0.0000 0.0000  6 S 2.76
Li 0.0000 0.5000 0.5000  6 S 2.63-2.64
Li 0.5000 0.0000 0.5000  6 S 2.63-2.64
Li 0.5000 0.5000 0.0000  6 S 2.63-2.64
Hf 0.5000 0.5000 0.5000  6 S 2.62
U 0.0000 0.0000 0.5000  6 S 2.74
U 0.0000 0.5000 0.0000  6 S 2.74
U 0.5000 0.0000 0.0000  6 S 2.74
S 0.2548 0.2548 0.2548  3 Li 2.63, 3 U 2.74
S 0.2567 0.2567 0.7334  1 Hf 2.62, 3 Li 2.64-2.76, 2 U 2.74
S 0.2567 0.7334 0.2567  1 Hf 2.62, 3 Li 2.64-2.76, 2 U 2.74
S 0.2666 0.7433 0.7433  1 Hf 2.62, 3 Li 2.64-2.76, 2 U 2.74
S 0.7334 0.2567 0.2567  1 Hf 2.62, 3 Li 2.64-2.76, 2 U 2.74
S 0.7433 0.2666 0.7433  1 Hf 2.62, 3 Li 2.64-2.76, 2 U 2.74
S 0.7433 0.7433 0.2666  1 Hf 2.62, 3 Li 2.64-2.76, 2 U 2.74
S 0.7452 0.7452 0.7452  3 Li 2.63, 3 U 2.74

space group	R-3m
magnetization	9.08	μB/f.u.
formation energy (no corrections)	-22.2	eV per formula unit
Fermi-level density of states	13.03	states/eV per cell
DFT total energy	-106.71	eV/cell

=====

Record 6
A geometry-optimized PmRuRh structure. Source: the Alexandria database, functional GGA-PBE.

Unit cell a=5.4693 b=5.4693 c=5.4693 alpha=124.40 beta=119.43 gamma=86.77
Last column: nearest neighbours and their distance in Å.
Fractional coordinates of all 6 atoms:
Pm 0.3718 0.1218 0.2500  6 Rh 3.06-3.31, 6 Ru 3.21-3.22, 4 Pm 3.27-3.37
Pm 0.6282 0.8782 0.7500  6 Rh 3.06-3.31, 6 Ru 3.21-3.22, 4 Pm 3.27-3.37
Ru 0.0000 0.0000 0.5000  2 Ru 2.55, 4 Rh 2.73
Ru 0.0000 0.5000 0.0000  2 Ru 2.55, 4 Rh 2.73
Rh 0.0000 0.5000 0.5000  4 Ru 2.73, 2 Rh 2.76, 4 Pm 3.06
Rh 0.5000 0.5000 0.0000  4 Ru 2.73, 2 Rh 2.76, 4 Pm 3.06

energy above the most stable polymorph in this dataset	0	meV/atom
formation energy from the elements	-0.43	eV/atom
space group	Imma
magnetization	0.00	μB/f.u.
Fermi-level density of states	6.76	states/eV per cell
DFT total energy	-45.35	eV/cell

=====

Record 7
A geometry-optimized La2YZn structure. Source: the Alexandria database, functional GGA-PBE.

Unit cell a=10.8825 b=10.8825 c=10.8825 alpha=19.70 beta=19.70 gamma=19.70
Last column: nearest neighbours and their distance in Å.
Fractional coordinates of all 4 atoms:
La 0.2405 0.2405 0.2405  3 Zn 3.19
La 0.7595 0.7595 0.7595  3 Zn 3.19
Y 0.0000 0.0000 0.0000  6 La 3.67, 6 Y 3.72
Zn 0.5000 0.5000 0.5000  6 La 3.19

energy above the most stable polymorph in this dataset	142	meV/atom
formation energy from the elements	-0.02	eV/atom
space group	R-3m
magnetization	0.00	μB/f.u.
Fermi-level density of states	3.98	states/eV per cell
DFT total energy	-17.67	eV/cell

=====

Record 8
A geometry-optimized ZnAsRu2 structure. Source: the Alexandria database, functional GGA-PBE.

Unit cell a=8.0340 b=8.0340 c=8.0340 alpha=21.10 beta=21.10 gamma=21.10
Last column: nearest neighbours and their distance in Å.
Fractional coordinates of all 4 atoms:
Zn 0.0000 0.0000 0.0000  6 Ru 2.70, 6 Zn 2.94
As 0.5000 0.5000 0.5000  6 Ru 2.50
Ru 0.2444 0.2444 0.2444  3 As 2.50, 3 Zn 2.70
Ru 0.7556 0.7556 0.7556  3 As 2.50, 3 Zn 2.70

energy above the most stable polymorph in this dataset	144	meV/atom
formation energy from the elements	0.04	eV/atom
space group	R-3m
magnetization	0.01	μB/f.u.
Fermi-level density of states	5.13	states/eV per cell
DFT total energy	-24.30	eV/cell

=====

Record 9
A geometry-optimized KCaMg structure. Source: the Alexandria database, functional GGA-PBE.

Unit cell a=8.8320 b=8.8287 c=3.8581 alpha=77.43 beta=77.33 gamma=25.24
Last column: nearest neighbours and their distance in Å.
Fractional coordinates of all 3 atoms:
K 0.0000 0.0000 0.0000  4 K 3.86, 4 Mg 3.90-3.91
Ca 0.7074 0.7074 0.2926  4 Mg 3.45-3.46, 4 Ca 3.86
Mg 0.3339 0.3339 0.6661  4 Ca 3.45-3.46, 4 Mg 3.86

formation energy from the elements	0.13	eV/atom
space group	Fmm2
magnetization	0.00	μB/f.u.
Fermi-level density of states	2.72	states/eV per cell
DFT total energy	-4.31	eV/cell

=====

Record 10
A geometry-optimized EuCdBi4 structure. Source: the Alexandria database, functional GGA-PBE.

Unit cell a=6.6180 b=6.6180 c=6.6180 alpha=60.00 beta=60.00 gamma=60.00
Last column: nearest neighbours and their distance in Å.
Fractional coordinates of all 6 atoms:
Eu 0.0000 0.0000 0.0000  12 Bi 3.88, 4 Cd 4.05
Cd 0.2500 0.2500 0.2500  12 Bi 3.88, 4 Eu 4.05
Bi 0.1284 0.6239 0.6239  6 Bi 3.28-3.34
Bi 0.6239 0.1284 0.6239  6 Bi 3.28-3.34
Bi 0.6239 0.6239 0.1284  6 Bi 3.28-3.34
Bi 0.6239 0.6239 0.6239  6 Bi 3.28-3.34

formation energy from the elements	-0.10	eV/atom
space group	F-43m
magnetization	7.04	μB/f.u.
Fermi-level density of states	6.93	states/eV per cell
DFT total energy	-27.33	eV/cell

=====

Record 11
A geometry-optimized Cs2GaHg2F4 structure. Source: the Alexandria database, functional GGA-PBE.

Unit cell a=6.5943 b=6.5943 c=6.5943 alpha=113.34 beta=113.34 gamma=101.98
Last column: nearest neighbours and their distance in Å.
Fractional coordinates of all 9 atoms:
Cs 0.2500 0.7500 0.5000  8 F 3.34, 4 Hg 3.68
Cs 0.7500 0.2500 0.5000  8 F 3.34, 4 Hg 3.68
Ga 0.0000 0.0000 0.0000  4 F 2.04
Hg 0.3291 0.3291 0.0000  1 Ga 2.73, 1 Hg 2.84
Hg 0.6709 0.6709 0.0000  1 Ga 2.73, 1 Hg 2.84
F 0.1990 0.1990 0.3980  1 Ga 2.04
F 0.1990 0.8010 0.0000  1 Ga 2.04
F 0.8010 0.1990 0.0000  1 Ga 2.04
F 0.8010 0.8010 0.6020  1 Ga 2.04

space group	I4/mmm
magnetization	0.00	μB/f.u.
formation energy (no corrections)	-16.7	eV per formula unit
Fermi-level density of states	1.41	states/eV per cell
DFT total energy	-29.48	eV/cell

=====

Record 12
A geometry-optimized Sm4DyEr10 structure. Source: the Alexandria database, functional GGA-PBE.

Unit cell a=9.3951 b=9.3951 c=9.3951 alpha=99.56 beta=99.56 gamma=131.90
Last column: nearest neighbours and their distance in Å.
Fractional coordinates of all 15 atoms:
Sm 0.1009 0.2990 0.3999  8 Er 3.32-3.33
Sm 0.2990 0.8991 0.1982  8 Er 3.32-3.33
Sm 0.7010 0.1009 0.8018  8 Er 3.32-3.33
Sm 0.8991 0.7010 0.6001  8 Er 3.32-3.33
Dy 0.5000 0.5000 0.0000  8 Er 3.30
Er 0.0521 0.1526 0.7019  1 Dy 3.30, 3 Sm 3.32
Er 0.1526 0.4507 0.1005  1 Dy 3.30, 3 Sm 3.32
Er 0.2500 0.7500 0.5000  4 Sm 3.33
Er 0.3502 0.0521 0.8995  1 Dy 3.30, 3 Sm 3.32
Er 0.4507 0.3502 0.2981  1 Dy 3.30, 3 Sm 3.32
Er 0.5493 0.6498 0.7019  1 Dy 3.30, 3 Sm 3.32
Er 0.6498 0.9479 0.1005  1 Dy 3.30, 3 Sm 3.32
Er 0.7500 0.2500 0.5000  4 Sm 3.33
Er 0.8474 0.5493 0.8995  1 Dy 3.30, 3 Sm 3.32
Er 0.9479 0.8474 0.2981  1 Dy 3.30, 3 Sm 3.32

formation energy from the elements	0.75	eV/atom
space group	I4/m
magnetization	0.00	μB/f.u.
Fermi-level density of states	20.53	states/eV per cell
DFT total energy	-57.81	eV/cell